34
Lattice="-0.511 -1.967 6.929 8.999 -3.728 -3.003 5.930 12.384 2.826" Properties=species:S:1:pos:R:3 comment="Sb3Cl9OF4 PBE-GGA optimized geometry" e_form_raw_mev_per_atom=-1188 n_ef_per_ev_cell=0.00 final_energy_ev_per_atom=-3.63 pbc="T T T"
Cl 9.379 5.948 3.703
Cl 6.573 5.524 5.661
Cl 10.960 3.357 1.062
Cl 7.770 -2.181 -1.249
Cl 3.003 -0.191 6.303
Cl 12.171 2.568 5.183
Cl 4.545 -2.871 3.832
Cl 9.873 9.560 2.919
Cl 12.897 7.733 4.956
Cl 6.382 4.839 2.139
Cl 8.036 1.850 4.612
Cl 1.520 -1.044 1.796
Cl 7.845 1.165 1.090
Cl 11.415 6.880 0.448
Cl 6.648 8.870 8.000
Cl 2.247 4.121 1.569
Cl 5.039 0.741 3.048
Cl 3.457 3.332 5.690
O 7.203 7.882 2.234
O 7.215 -1.193 4.518
F 5.023 7.093 3.731
F 1.359 1.521 4.349
F 5.391 9.708 3.297
F 6.985 -1.614 2.056
F 13.059 5.168 2.402
F 9.395 -0.404 3.020
F 7.433 8.303 4.695
F 9.026 -3.019 3.454
Sb 1.789 1.795 6.192
Sb 6.872 -2.970 3.729
Sb 7.116 6.470 3.611
Sb 7.302 0.219 3.140
Sb 7.546 9.659 3.023
Sb 12.629 4.894 0.560



12
Lattice="-1.447 1.288 -4.565 6.052 -2.101 -2.511 -3.682 -8.975 -1.366" Properties=species:S:1:pos:R:3 comment="Tb2DyScTl2 PBE-GGA optimized geometry" delta_e_f_ev_per_atom=-0.262 n_ef_per_ev_cell=13.79 final_energy_ev_per_atom=-4.42 pbc="T T T"
Tb 1.376 -2.417 -1.118
Tb -0.866 -9.068 -4.978
Tb 2.112 -9.048 -3.222
Tb -0.564 0.096 -2.488
Dy 0.747 -5.866 -1.892
Dy 4.118 -6.076 -3.020
Tl -0.748 -3.258 -3.376
Tl -1.377 -8.341 -1.917
Tl 4.301 -2.927 -2.189
Tl 1.405 -6.437 -4.956
Sc 2.187 -3.511 -4.378
Sc -2.262 -5.930 -3.650



10
Lattice="-1.802 -3.610 0.170 6.168 -3.259 -3.842 2.989 1.171 8.582" Properties=species:S:1:pos:R:3 comment="Pm5NbGe4 PBE-GGA optimized geometry" delta_e_f_ev_per_atom=-0.460 n_ef_per_ev_cell=8.91 final_energy_ev_per_atom=-5.69 pbc="T T T"
Ge 4.792 -2.530 -2.949
Ge 2.563 -3.168 7.859
Ge 0.298 -2.291 2.482
Ge 7.057 -3.407 2.428
Pm 2.874 -1.363 1.514
Pm 4.482 -4.335 3.396
Pm 5.843 -2.926 -0.225
Pm 2.183 -3.434 -1.836
Pm 1.513 -2.772 5.135
Nb -0.901 -1.805 0.085